1.
A plane-wave DFT calculation with PBE was carried out for a relaxed ThZr2Ru crystal.

Cell: 6.0183 6.8398 9.1797 Å, 90.00 90.00 90.00°
Fractional coordinates of all 16 atoms:
1 Zr 0.3500 0.1862 0.0608
2 Ru 0.4194 0.8808 0.2500
3 Zr 0.1500 0.6862 0.0608
4 Th 0.1499 0.9613 0.7500
5 Zr 0.6500 0.8138 0.5608
6 Zr 0.1500 0.6862 0.4392
7 Th 0.6499 0.5387 0.2500
8 Ru 0.9194 0.6192 0.7500
9 Th 0.8501 0.0387 0.2500
10 Zr 0.6500 0.8138 0.9392
11 Zr 0.3500 0.1862 0.4392
12 Zr 0.8500 0.3138 0.5608
13 Ru 0.0806 0.3808 0.2500
14 Th 0.3501 0.4613 0.7500
15 Zr 0.8500 0.3138 0.9392
16 Ru 0.5806 0.1192 0.7500

Results
* space group: Pnma
* polymorph energy (0 for the lowest one): 0.0 kJ per mole of atoms

2.
A plane-wave DFT calculation with PBE was carried out for a relaxed TiRu crystal.

Cell: 3.0809 3.0809 3.0809 Å, 90.00 90.00 90.00°
Fractional coordinates of all 2 atoms:
1 Ru 0.5000 0.5000 0.5000
2 Ti 0.0000 0.0000 0.0000

Results
* final energy: -9.35 eV per atom
* space group: Pm-3m

3.
A plane-wave DFT calculation with PBE was carried out for a relaxed TiRu crystal.

Cell: 5.5399 5.5399 5.5399 Å, 90.00 90.00 90.00°
Fractional coordinates of all 8 atoms:
1 Ti 0.2500 0.7500 0.7500
2 Ti 0.7500 0.7500 0.2500
3 Ru 0.0000 0.0000 0.0000
4 Ru 0.5000 0.5000 0.0000
5 Ti 0.2500 0.2500 0.2500
6 Ru 0.5000 0.0000 0.5000
7 Ru 0.0000 0.5000 0.5000
8 Ti 0.7500 0.2500 0.7500

Results
* final energy: -7.69 eV per atom
* space group: F-43m

4.
A plane-wave DFT calculation with PBE was carried out for a relaxed TiRu crystal.

Cell: 7.5030 7.5030 4.7404 Å, 90.00 90.00 90.00°
Fractional coordinates of all 16 atoms:
1 Ti 0.9152 0.2984 0.0000
2 Ru 0.2394 0.5947 0.5000
3 Ti 0.0848 0.7016 0.0000
4 Ru 0.5947 0.7606 0.5000
5 Ru 0.4053 0.2394 0.5000
6 Ti 0.7016 0.9152 0.0000
7 Ru 0.4053 0.7606 0.0000
8 Ru 0.5947 0.2394 0.0000
9 Ru 0.2394 0.4053 0.0000
10 Ru 0.7606 0.5947 0.0000
11 Ti 0.7016 0.0848 0.5000
12 Ru 0.7606 0.4053 0.5000
13 Ti 0.0848 0.2984 0.5000
14 Ti 0.9152 0.7016 0.5000
15 Ti 0.2984 0.0848 0.0000
16 Ti 0.2984 0.9152 0.5000

Results
* final energy: -8.66 eV per atom
* space group: P4/mcc

5.
A plane-wave DFT calculation with PBE was carried out for a relaxed TiRu crystal.

Cell: 5.0628 5.0628 5.0628 Å, 90.00 90.00 90.00°
Fractional coordinates of all 8 atoms:
1 Ti 0.5000 0.5000 0.0000
2 Ru 0.5000 0.5000 0.5000
3 Ti 0.5000 0.0000 0.5000
4 Ru 0.5000 0.0000 0.0000
5 Ru 0.0000 0.0000 0.5000
6 Ru 0.0000 0.5000 0.0000
7 Ti 0.0000 0.5000 0.5000
8 Ti 0.0000 0.0000 0.0000

Results
* final energy: -8.48 eV per atom
* space group: Fm-3m

6.
A plane-wave DFT calculation with PBE was carried out for a relaxed Ti5Ru crystal.

Cell: 3.0499 3.0499 10.5587 Å, 90.00 90.00 90.00°
Fractional coordinates of all 6 atoms:
1 Ti 0.5000 0.5000 0.8196
2 Ti 0.0000 0.0000 0.6453
3 Ru 0.5000 0.5000 0.5000
4 Ti 0.5000 0.5000 0.1804
5 Ti 0.0000 0.0000 0.3547
6 Ti 0.0000 0.0000 0.0000

Results
* space group: P4/mmm
* polymorph energy (0 for the lowest one): 0.0 kJ per mole of atoms

7.
A plane-wave DFT calculation with PBE was carried out for a relaxed TiRu crystal.

Cell: 5.0640 5.0640 5.0169 Å, 90.00 90.00 90.00°
Fractional coordinates of all 8 atoms:
1 Ru 0.7081 0.7081 0.0000
2 Ti 0.7090 0.7090 0.5000
3 Ru 0.2081 0.7919 0.5000
4 Ti 0.7910 0.2090 0.0000
5 Ru 0.2919 0.2919 0.0000
6 Ti 0.2910 0.2910 0.5000
7 Ti 0.2090 0.7910 0.0000
8 Ru 0.7919 0.2081 0.5000

Results
* final energy: -8.55 eV per atom
* space group: P4_2/mnm

8.
A plane-wave DFT calculation with PBE was carried out for a relaxed Ti2Ru crystal.

Cell: 3.0792 3.0792 9.7646 Å, 90.00 90.00 90.00°
Fractional coordinates of all 6 atoms:
1 Ru 0.0000 0.0000 0.1588
2 Ti 0.5000 0.5000 0.3135
3 Ti 0.5000 0.5000 0.6865
4 Ti 0.0000 0.0000 0.5000
5 Ti 0.5000 0.5000 0.0000
6 Ru 0.0000 0.0000 0.8412

Results
* final energy: -8.86 eV per atom
* space group: P4/mmm

9.
A plane-wave DFT calculation with PBE was carried out for a relaxed Ti4Ru crystal.

Cell: 4.6589 4.6589 4.6589 Å, 90.00 90.00 90.00°
Last column: magnetic moment on the atom in μB.
Fractional coordinates of all 5 atoms:
1 Ti 0.5000 0.0000 0.5000  -0.08
2 Ti 0.5000 0.5000 0.0000  -0.08
3 Ru 0.5000 0.5000 0.5000  0.03
4 Ti 0.0000 0.0000 0.0000  0.52
5 Ti 0.0000 0.5000 0.5000  -0.08

Results
* space group: Pm-3m
* polymorph energy (0 for the lowest one): 56.5 kJ per mole of atoms

10.
A plane-wave DFT calculation with PBE was carried out for a relaxed Ti4Ru crystal.

Cell: 11.3938 11.2479 2.8349 Å, 85.74 79.89 14.37°
Fractional coordinates of all 5 atoms:
1 Ti 0.8043 0.8043 0.1957
2 Ti 0.4100 0.4100 0.5900
3 Ti 0.5900 0.5900 0.4100
4 Ti 0.1957 0.1957 0.8043
5 Ru 0.0000 0.0000 0.0000

Results
* space group: Fmmm
* polymorph energy (0 for the lowest one): 0.0 kJ per mole of atoms

11.
A plane-wave DFT calculation with PBE was carried out for a relaxed TiRu crystal.

Cell: 7.4192 7.4192 7.4192 Å, 90.00 90.00 90.00°
Fractional coordinates of all 16 atoms:
1 Ti 0.2048 0.2048 0.2048
2 Ru 0.6306 0.3694 0.6306
3 Ru 0.1306 0.8694 0.1306
4 Ti 0.2952 0.2952 0.7048
5 Ti 0.7048 0.2952 0.2952
6 Ru 0.3694 0.6306 0.6306
7 Ru 0.3694 0.3694 0.3694
8 Ti 0.2952 0.7048 0.2952
9 Ru 0.8694 0.1306 0.1306
10 Ru 0.1306 0.1306 0.8694
11 Ru 0.8694 0.8694 0.8694
12 Ti 0.2048 0.7952 0.7952
13 Ti 0.7952 0.7952 0.2048
14 Ru 0.6306 0.6306 0.3694
15 Ti 0.7048 0.7048 0.7048
16 Ti 0.7952 0.2048 0.7952

Results
* final energy: -7.69 eV per atom
* space group: I-43m

12.
A plane-wave DFT calculation with PBE was carried out for a relaxed TiRu crystal.

Cell: 7.7377 7.7377 4.3258 Å, 90.00 90.00 90.00°
Fractional coordinates of all 16 atoms:
1 Ru 0.8606 0.1851 0.0000
2 Ru 0.1851 0.1394 0.0000
3 Ti 0.4835 0.8052 0.0000
4 Ru 0.6851 0.6394 0.5000
5 Ti 0.9835 0.3052 0.5000
6 Ti 0.0165 0.6948 0.5000
7 Ru 0.6394 0.3149 0.5000
8 Ti 0.1948 0.4835 0.0000
9 Ti 0.8052 0.5165 0.0000
10 Ti 0.3052 0.0165 0.5000
11 Ti 0.5165 0.1948 0.0000
12 Ru 0.8149 0.8606 0.0000
13 Ru 0.3606 0.6851 0.5000
14 Ti 0.6948 0.9835 0.5000
15 Ru 0.1394 0.8149 0.0000
16 Ru 0.3149 0.3606 0.5000

Results
* final energy: -8.77 eV per atom
* space group: I4/m

no.,total moment (μB/atom)
1,0.000
2,0.000
3,0.000
4,0.000
5,0.000
6,0.000
7,0.000
8,0.000
9,0.076
10,0.000
11,0.000
12,0.000